Record 1
ScAlMo2: relaxed, PBE.

It has space group C2/m (No. 12), with a = 5.576 Å, b = 9.058 Å, c = 2.765 Å, α = 90.00°, β = 106.74° and γ = 90.00°. The inequivalent atoms are Sc at (0.000, 0.000, 0.000), Al at (0.000, 0.500, 0.000) and Mo at (0.250, 0.250, 0.500).

The calculation puts the total DFT energy (no corrections) at -63.53 eV/cell. The formation energy comes out at -0.03 eV per formula unit. As for the crystal system: monoclinic.



Record 2
ScAlMo: relaxed, PBE.

It has space group P3m1 (No. 156), with a = 4.6437 Å, b = 4.6437 Å, c = 2.8106 Å, α = 90.00°, β = 90.00° and γ = 120.00°. The inequivalent atoms are Sc at (0.0000, 0.0000, 0.0000), Al at (0.3333, 0.6667, 0.4072) and Mo at (0.6667, 0.3333, 0.6533).

The calculation puts the total DFT energy (no corrections) at -21.11 eV/cell. The value obtained for the relative energy among the computed polymorphs is 256.2 meV/atom. The formation energy comes out at -0.20 eV per formula unit. As for the crystal system: trigonal.



Record 3
ScAl2Mo: relaxed, PBE.

It has space group R-3m (No. 166, hexagonal axes), with a = 2.9438 Å, b = 2.9438 Å, c = 28.2395 Å, α = 90.00°, β = 90.00° and γ = 120.00°. The inequivalent atoms are Sc at (0.0000, 0.0000, 0.0000), Al at (0.0000, 0.0000, 0.2436) and Mo at (0.0000, 0.0000, 0.5000).

The calculation puts the total DFT energy (no corrections) at -74.39 eV/cell. The value obtained for the relative energy among the computed polymorphs is 287.0 meV/atom. The formation energy comes out at -0.15 eV per formula unit. As for the crystal system: trigonal.



> formation energy of number 2 (ScAlMo)?

-0.20 eV per formula unit



> The highest total DFT energy (no corrections) belongs to which entry?

ScAlMo